This record from the Alexandria database describes crystalline CaTlIn2 at its relaxed geometry. The functional is GGA-PBE.

abc: 5.6836 5.6836 5.8077
angles: 101.17 101.17 38.04
Positions (direct):
Ca 0.0000 0.0000 0.0000
Tl 0.2447 0.2447 0.7520
In 0.4963 0.4963 0.4951
In 0.7536 0.7536 0.2721

Output
Its magnetic moment is 0.00 Bohr magnetons per cell. As for the space group: No. 8. The energy relative to the elements comes out at -0.9 eV per formula unit.